(1)
The following is a PBE calculation of crystalline TbDy7Hg2 at its relaxed geometry, from the Alexandria database.

Cell lengths 9.0764, 15.2944, 5.2806 Å; angles 90.00, 90.00, 90.00 degrees
Space group Cmmm (No. 65)
Unique sites:
Tb1 0.0000 0.0000 0.0000 [2 per cell]
Dy1 0.0000 0.2346 0.0000 [4 per cell]
Dy2 0.0000 0.5000 0.5000 [2 per cell]
Dy3 0.1823 0.1207 0.5000 [8 per cell]
Hg1 0.0000 0.3061 0.5000 [4 per cell]

Computed properties:
calculated total energy = -69.2 eV for the cell shown
formation enthalpy at 0 K = 28 kJ/mol of atoms

---

(2)
The following is a PBE calculation of crystalline Ca2LaZn at its relaxed geometry, from the Alexandria database.

Cell lengths 6.9359, 11.9720, 3.6144 Å; angles 90.00, 118.38, 90.00 degrees
Space group C2/m (No. 12)
Unique sites:
Ca1 0.2500 0.2500 0.0000 [4 per cell]
La1 0.0000 0.0000 0.5000 [2 per cell]
Zn1 0.0000 0.5000 0.5000 [2 per cell]

Computed properties:
calculated total energy = -19.5 eV for the cell shown
formation enthalpy at 0 K = 11 kJ/mol of atoms

---

(3)
The following is a PBE calculation of crystalline RhF at its relaxed geometry, from the Alexandria database.

Cell lengths 4.6611, 6.9582, 4.9790 Å; angles 90.00, 90.00, 90.00 degrees
Space group Pmmn (No. 59, origin choice 2)
Unique sites:
Rh1 0.2500 0.0598 0.0727 [4 per cell]
Rh2 0.2500 0.7500 0.7608 [2 per cell]
F1 0.2500 0.2500 0.7602 [2 per cell]
F2 0.2500 0.5633 0.4286 [4 per cell]

Computed properties:
ΔE_f (raw) = -0.593 eV per atom
energy above the most stable polymorph in this dataset = 63.5 meV/atom
calculated total energy = -62.5 eV for the cell shown